Material: SrTmTe3Au
Method: DFT, GGA-PBE
State: relaxed

Unit cell a=12.0692 b=4.4494 c=13.3243 alpha=90.00 beta=90.00 gamma=90.00
Fractional coordinates of all 24 atoms:
Tm 0.1792 0.0000 0.0109
Tm 0.8208 0.5000 0.9891
Tm 0.3208 0.0000 0.5109
Tm 0.6792 0.5000 0.4891
Au 0.7239 0.0000 0.3054
Au 0.2239 0.5000 0.1946
Au 0.2761 0.5000 0.6946
Au 0.7761 0.0000 0.8054
Te 0.4458 0.5000 0.3939
Te 0.6414 0.0000 0.9683
Te 0.8586 0.0000 0.4683
Te 0.8215 0.5000 0.6943
Te 0.6785 0.5000 0.1943
Te 0.3586 0.5000 0.0317
Te 0.9458 0.0000 0.1061
Te 0.3215 0.0000 0.8057
Te 0.0542 0.5000 0.8939
Te 0.5542 0.0000 0.6061
Te 0.1414 0.5000 0.5317
Te 0.1785 0.0000 0.3057
Sr 0.4584 0.0000 0.2064
Sr 0.5416 0.5000 0.7936
Sr 0.9584 0.5000 0.2936
Sr 0.0416 0.0000 0.7064

The total energy is -4.27 eV/atom.